Na2Ag2Pb: relaxed, PBE-GGA.

Geometry as POSCAR:
```
Na2Ag2Pb
1.0
3.715 -4.270 0.000
3.715 4.270 0.000
-0.951 0.000 7.644
Na Ag Pb
4 4 2
direct
0.119 0.267 0.011
0.267 0.119 0.511
0.733 0.881 0.489
0.881 0.733 0.989
0.152 0.581 0.367
0.419 0.848 0.133
0.581 0.152 0.867
0.848 0.419 0.633
0.372 0.628 0.750
0.628 0.372 0.250
```

Computed properties:
polymorph energy (0 for the lowest one): 0.010 eV/atom

***

NaAgPb6: relaxed, PBE-GGA.

Geometry as POSCAR:
```
NaAgPb6
1.0
4.896 0.000 0.000
0.000 4.896 0.000
0.000 0.000 9.664
Na Ag Pb
1 1 6
direct
0.000 0.000 0.000
0.000 0.000 0.500
0.000 0.500 0.259
0.000 0.500 0.741
0.500 0.000 0.259
0.500 0.000 0.741
0.500 0.500 0.000
0.500 0.500 0.500
```

Computed properties:
polymorph energy (0 for the lowest one): 0.000 eV/atom

***

Na2Ag2Pb: relaxed, PBE-GGA.

Geometry as POSCAR:
```
Na2Ag2Pb
1.0
8.620 0.000 0.000
0.000 8.620 0.000
0.000 0.000 3.247
Na Ag Pb
4 4 2
direct
0.131 0.369 0.000
0.369 0.869 0.000
0.631 0.131 0.000
0.869 0.631 0.000
0.166 0.666 0.500
0.334 0.166 0.500
0.666 0.834 0.500
0.834 0.334 0.500
0.000 0.000 0.000
0.500 0.500 0.000
```

Computed properties:
polymorph energy (0 for the lowest one): 0.133 eV/atom

***

Na2Ag2Pb: relaxed, PBE-GGA.

Geometry as POSCAR:
```
Na2Ag2Pb
1.0
5.231 -2.939 0.000
5.231 2.939 0.000
-2.057 0.000 8.248
Na Ag Pb
4 4 2
direct
0.010 0.307 0.153
0.307 0.010 0.653
0.693 0.990 0.347
0.990 0.693 0.847
0.229 0.512 0.515
0.488 0.771 0.985
0.512 0.229 0.015
0.771 0.488 0.485
0.307 0.693 0.250
0.693 0.307 0.750
```

Computed properties:
polymorph energy (0 for the lowest one): 0.000 eV/atom

***

Na2AgPb: relaxed, PBE-GGA.

Geometry as POSCAR:
```
Na2AgPb
1.0
4.489 0.000 0.000
0.000 4.489 0.000
0.000 0.000 5.013
Na Ag Pb
2 1 1
direct
0.000 0.500 0.000
0.500 0.000 0.000
0.000 0.000 0.500
0.500 0.500 0.500
```

***

Na3Ag4Pb2: relaxed, PBE-GGA.

Geometry as POSCAR:
```
Na3Ag4Pb2
1.0
4.349 -2.504 0.000
4.349 2.504 0.000
-0.034 0.000 9.343
Na Ag Pb
3 4 2
direct
0.000 0.000 0.000
0.334 0.334 0.429
0.666 0.666 0.571
0.000 0.000 0.342
0.000 0.000 0.658
0.333 0.333 0.101
0.667 0.667 0.899
0.333 0.333 0.782
0.667 0.667 0.218
```

***

NaAg2Pb2: relaxed, PBE-GGA.

Geometry as POSCAR:
```
NaAg2Pb2
1.0
-1.979 1.979 8.369
1.979 -1.979 8.369
1.979 1.979 -8.369
Na Ag Pb
1 2 2
direct
0.000 0.000 0.000
0.250 0.750 0.500
0.750 0.250 0.500
0.391 0.391 0.000
0.609 0.609 0.000
```

Computed properties:
polymorph energy (0 for the lowest one): 0.078 eV/atom

***

NaAg2Pb: relaxed, PBE-GGA.

Geometry as POSCAR:
```
NaAg2Pb
1.0
3.721 0.000 0.000
0.000 3.721 0.000
0.000 0.000 6.575
Na Ag Pb
1 2 1
direct
0.000 0.000 0.000
0.500 0.500 0.235
0.500 0.500 0.765
0.000 0.000 0.500
```

***

Na2Ag2Pb: relaxed, PBE-GGA.

Geometry as POSCAR:
```
Na2Ag2Pb
1.0
7.797 0.000 0.000
0.000 7.797 0.000
0.000 0.000 4.058
Na Ag Pb
4 4 2
direct
0.169 0.331 0.000
0.331 0.831 0.000
0.669 0.169 0.000
0.831 0.669 0.000
0.130 0.630 0.500
0.370 0.130 0.500
0.630 0.870 0.500
0.870 0.370 0.500
0.000 0.000 0.500
0.500 0.500 0.500
```

Computed properties:
polymorph energy (0 for the lowest one): 0.032 eV/atom

***

NaAg6Pb: relaxed, PBE-GGA.

Geometry as POSCAR:
```
NaAg6Pb
1.0
4.833 0.000 0.000
0.000 3.474 4.811
0.000 -3.474 4.811
Na Ag Pb
1 6 1
direct
0.000 0.000 0.000
0.000 0.463 0.463
0.000 0.519 0.940
0.000 0.940 0.519
0.500 0.315 0.744
0.500 0.744 0.315
0.500 0.796 0.796
0.500 0.258 0.258
```

***

Na2Ag2Pb: relaxed, PBE-GGA.

Geometry as POSCAR:
```
Na2Ag2Pb
1.0
-2.156 2.156 6.913
2.156 -2.156 6.913
2.156 2.156 -6.913
Na Ag Pb
2 2 1
direct
0.250 0.750 0.500
0.750 0.250 0.500
0.098 0.098 0.000
0.902 0.902 0.000
0.500 0.500 0.000
```

Computed properties:
polymorph energy (0 for the lowest one): 0.198 eV/atom

***

Na2Ag15Pb2: relaxed, PBE-GGA.

Geometry as POSCAR:
```
Na2Ag15Pb2
1.0
4.946 2.855 4.744
-4.946 2.855 4.744
0.000 -5.711 4.744
Na Ag Pb
2 15 2
direct
0.141 0.141 0.141
0.859 0.859 0.859
0.000 0.500 0.500
0.160 0.160 0.673
0.160 0.673 0.160
0.166 0.500 0.834
0.166 0.834 0.500
0.327 0.840 0.840
0.500 0.000 0.500
0.500 0.166 0.834
0.500 0.500 0.000
0.500 0.834 0.166
0.673 0.160 0.160
0.834 0.166 0.500
0.834 0.500 0.166
0.840 0.327 0.840
0.840 0.840 0.327
0.394 0.394 0.394
0.606 0.606 0.606
```

***

NaAg3Pb3: relaxed, PBE-GGA.

Geometry as POSCAR:
```
NaAg3Pb3
1.0
7.953 0.000 0.000
0.000 7.953 0.000
0.000 0.000 7.953
Na Ag Pb
2 6 6
direct
0.000 0.000 0.000
0.500 0.500 0.500
0.000 0.250 0.500
0.000 0.750 0.500
0.250 0.500 0.000
0.500 0.000 0.250
0.500 0.000 0.750
0.750 0.500 0.000
0.000 0.500 0.250
0.000 0.500 0.750
0.250 0.000 0.500
0.500 0.250 0.000
0.500 0.750 0.000
0.750 0.000 0.500
```

***

Na3AgPb: relaxed, PBE-GGA.

Geometry as POSCAR:
```
Na3AgPb
1.0
5.635 -4.682 0.000
5.635 4.682 0.000
-4.449 0.000 5.942
Na Ag Pb
6 2 2
direct
0.063 0.063 0.336
0.090 0.490 0.262
0.490 0.090 0.262
0.510 0.910 0.738
0.910 0.510 0.738
0.937 0.937 0.664
0.261 0.261 0.896
0.739 0.739 0.104
0.436 0.436 0.722
0.564 0.564 0.278
```

Computed properties:
polymorph energy (0 for the lowest one): 0.072 eV/atom

***

Na6AgPb12: relaxed, PBE-GGA.

Geometry as POSCAR:
```
Na6AgPb12
1.0
7.080 4.088 3.361
-7.080 4.088 3.361
0.000 -8.175 3.361
Na Ag Pb
6 1 12
direct
0.034 0.301 0.419
0.301 0.419 0.034
0.419 0.034 0.301
0.581 0.966 0.699
0.699 0.581 0.966
0.966 0.699 0.581
0.500 0.500 0.500
0.031 0.906 0.315
0.094 0.685 0.969
0.232 0.649 0.363
0.315 0.031 0.906
0.351 0.637 0.768
0.363 0.232 0.649
0.637 0.768 0.351
0.649 0.363 0.232
0.685 0.969 0.094
0.768 0.351 0.637
0.906 0.315 0.031
0.969 0.094 0.685
```

***

NaAg2Pb8: relaxed, PBE-GGA.

Geometry as POSCAR:
```
NaAg2Pb8
1.0
4.615 -6.519 0.000
4.615 6.519 0.000
-1.352 0.000 5.401
Na Ag Pb
1 2 8
direct
0.000 0.000 0.000
0.329 0.671 0.500
0.671 0.329 0.500
0.067 0.328 0.608
0.254 0.746 0.000
0.328 0.067 0.608
0.363 0.363 0.157
0.637 0.637 0.843
0.672 0.933 0.392
0.746 0.254 0.000
0.933 0.672 0.392
```

***

Na2AgPb: relaxed, PBE-GGA.

Geometry as POSCAR:
```
Na2AgPb
1.0
1.682 0.971 11.251
-1.682 0.971 11.251
0.000 -1.942 11.251
Na Ag Pb
2 1 1
direct
0.096 0.096 0.096
0.904 0.904 0.904
0.500 0.500 0.500
0.000 0.000 0.000
```

***

Na3AgPb2: relaxed, PBE-GGA.

Geometry as POSCAR:
```
Na3AgPb2
1.0
3.320 0.000 0.000
0.000 5.206 0.000
0.000 0.000 9.142
Na Ag Pb
3 1 2
direct
0.000 0.000 0.000
0.000 0.000 0.332
0.000 0.500 0.813
0.000 0.500 0.488
0.500 0.000 0.646
0.500 0.500 0.178
```

***

NaAg2Pb: relaxed, PBE-GGA.

Geometry as POSCAR:
```
NaAg2Pb
1.0
-1.559 2.621 5.967
1.559 -2.621 5.967
1.559 2.621 -5.967
Na Ag Pb
1 2 1
direct
0.000 0.000 0.000
0.254 0.254 0.000
0.746 0.746 0.000
0.500 0.500 0.000
```

***

Na2AgPb: relaxed, PBE-GGA.

Geometry as POSCAR:
```
Na2AgPb
1.0
3.824 0.000 0.000
0.000 3.824 0.000
0.000 0.000 6.983
Na Ag Pb
2 1 1
direct
0.000 0.000 0.231
0.000 0.000 0.769
0.500 0.500 0.000
0.500 0.500 0.500
```

***

Table of formation energy from the elements (eV/f.u.), in record order: -0.22, -0.16, 0.39, -0.27, -0.20, -0.44, 0.39, 0.17, -0.11, 0.33, 0.71, 0.66, 2.46, -0.01, -0.86, 0.53, 0.31, -0.38, 0.84, -0.15
Table of DOS(E_F) (states/eV/f.u.), in record order: 1.6, 2.2, 1.5, 1.8, 1.8, 2.3, 2.4, 2.1, 1.9, 2.0, 2.2, 2.7, 5.9, 2.1, 8.6, 4.8, 1.4, 1.3, 1.8, 1.2